Density functional theory data (PBE) for an optimized crystal structure of Pr2Y.

The space group is I4/mmm (No. 139) and the conventional cell measures 3.676, 3.676 and 15.548 Å, with angles of 90.00, 90.00 and 90.00 degrees. The distinct sites, in fractional coordinates, are Pr at (0.000, 0.000, 0.165) and Y at (0.000, 0.000, 0.500).

The formation energy is 20 meV per atom. The energy above the lowest structure with this stoichiometry is 0.0 meV per atom. The value obtained for the electronic total energy is -31.9 eV for the cell shown.